This record from Alexandria via LeMat-Bulk describes crystalline Hf3TiTc at its relaxed geometry. The functional is PBE.

As for the total energy: -195.2 eV per cell.

The structure belongs to space group C2/m (No. 12); the cell edges are 10.201, 4.577 and 8.521 Å and the angles 90.00°, 102.69° and 90.00°. Symmetry generates all atoms from Hf at (0.053, 0.000, 0.350), Hf at (0.077, 0.500, 0.874), Hf at (0.244, 0.500, 0.235), Ti at (0.132, 0.500, 0.565) and Tc at (0.147, 0.000, 0.053).

=====

This record from Alexandria via LeMat-Bulk describes crystalline InHg2 at its relaxed geometry. The functional is PBE.

As for the total energy: -13.3 eV per cell.

The structure belongs to space group C2/m (No. 12); the cell edges are 15.070, 3.159 and 6.977 Å and the angles 90.00°, 105.13° and 90.00°. Symmetry generates all atoms from In at (0.144, 0.000, 0.043), Hg at (0.022, 0.500, 0.294) and Hg at (0.188, 0.000, 0.623).

=====

This record from Alexandria via LeMat-Bulk describes crystalline HfMn2Zn at its relaxed geometry. The functional is PBE.

As for the total energy: -29.6 eV per cell.

The structure belongs to space group P4/mmm (No. 123); the cell edges are 4.079, 4.079 and 3.509 Å and the angles 90.00°, 90.00° and 90.00°. Symmetry generates all atoms from Hf at (0.000, 0.000, 0.000), Mn at (0.000, 0.500, 0.500) and Zn at (0.500, 0.500, 0.000).

=====

This record from Alexandria via LeMat-Bulk describes crystalline BaSn2Sb2 at its relaxed geometry. The functional is PBE.

As for the total energy: -38.8 eV per cell. Its formation energy from raw total energies is -0.240 eV per atom.

The structure belongs to space group P4/mbm (No. 127); the cell edges are 8.778, 8.778 and 4.190 Å and the angles 90.00°, 90.00° and 90.00°. Symmetry generates all atoms from Ba at (0.000, 0.000, 0.000), Sn at (0.154, 0.346, 0.500) and Sb at (0.130, 0.630, 0.000).

=====

This record from Alexandria via LeMat-Bulk describes crystalline Cs2TbTmS4 at its relaxed geometry. The functional is PBE.

As for the total energy: -42.0 eV per cell. Its formation energy from raw total energies is -1.829 eV per atom.

The structure belongs to space group P2/m (No. 10); the cell edges are 7.082, 4.089 and 8.399 Å and the angles 90.00°, 106.30° and 90.00°. Symmetry generates all atoms from Cs at (0.000, 0.000, 0.000), Cs at (0.500, 0.500, 0.000), Tb at (0.000, 0.500, 0.500), Tm at (0.500, 0.000, 0.500), S at (0.231, 0.000, 0.681) and S at (0.277, 0.500, 0.320).

=====

This record from Alexandria via LeMat-Bulk describes crystalline Tl2InIr at its relaxed geometry. The functional is PBE.

As for the total energy: -15.7 eV per cell.

The structure belongs to space group P4mm (No. 99); the cell edges are 3.225, 3.225 and 9.194 Å and the angles 90.00°, 90.00° and 90.00°. Symmetry generates all atoms from Tl at (0.000, 0.000, 0.000), Tl at (0.500, 0.500, 0.320), In at (0.000, 0.000, 0.612) and Ir at (0.500, 0.500, 0.787).

=====

- Among the records above, which one has the highest total energy?
  InHg2